The following is a DFT calculation (PBE-GGA) of crystalline Cd2PbBr at its relaxed geometry.

Cell and atoms, written as CIF:
```
data_Cd2PbBr
_chemical_formula_sum 'Cd2 Pb1 Br1'
_cell_length_a 6.2764
_cell_length_b 6.2764
_cell_length_c 3.4349
_cell_angle_alpha 90.00
_cell_angle_beta 90.00
_cell_angle_gamma 122.05
_space_group_name_H-M_alt 'P 1'
_space_group_IT_number 1
_space_group_name_Hall 'P 1'
loop_
_atom_site_label
_atom_site_fract_x
_atom_site_fract_y
_atom_site_fract_z
Pb1 0.5000 0.0000 0.5000
Br1 0.0000 0.5000 0.5000
Cd1 0.0000 0.0000 0.0000
Cd2 0.5000 0.5000 0.0000
```

Computed properties:
Total energy in eV/atom: -1.890